(1)
{"formula": "Li2MnWO6", "functional": "GGA-PBEsol", "state": "relaxed", "space_group": "R3", "formation_energy_uncorrected_ev_per_atom": -2.03, "lattice_angstrom": [[2.494, 1.440, 4.369], [-2.494, 1.440, 4.369], [0.000, -2.880, 4.369]], "species": ["Li", "Li", "Mn", "W", "O", "O", "O", "O", "O", "O"], "fractional_positions": [[0.000, 0.000, 0.000], [0.497, 0.497, 0.497], [0.782, 0.782, 0.782], [0.282, 0.282, 0.282], [0.040, 0.424, 0.654], [0.151, 0.917, 0.547], [0.424, 0.654, 0.040], [0.547, 0.151, 0.917], [0.654, 0.040, 0.424], [0.917, 0.547, 0.151]]}

=====

(2)
{"formula": "Li4MnW3O12", "functional": "GGA-PBEsol", "state": "relaxed", "space_group": "P1", "relative_energy_mev_per_atom": 0, "formation_energy_uncorrected_ev_per_atom": -2.11, "lattice_angstrom": [[5.072, 0.000, 0.000], [0.001, 5.356, 0.000], [0.011, 0.535, 7.360]], "species": ["Li", "Li", "Li", "Li", "Mn", "W", "W", "W", "O", "O", "O", "O", "O", "O", "O", "O", "O", "O", "O", "O"], "fractional_positions": [[0.000, 0.000, 0.000], [0.005, 0.022, 0.536], [0.499, 0.364, 0.936], [0.505, 0.481, 0.526], [0.000, 0.431, 0.730], [0.005, 0.432, 0.230], [0.498, 0.920, 0.734], [0.505, 0.927, 0.235], [0.118, 0.418, 0.985], [0.198, 0.734, 0.671], [0.199, 0.120, 0.289], [0.306, 0.227, 0.674], [0.312, 0.622, 0.291], [0.386, 0.931, 0.985], [0.622, 0.923, 0.480], [0.687, 0.616, 0.782], [0.700, 0.228, 0.168], [0.802, 0.119, 0.786], [0.811, 0.737, 0.171], [0.885, 0.416, 0.474]]}

=====

(3)
{"formula": "Li4MnW3O12", "functional": "GGA-PBEsol", "state": "relaxed", "space_group": "P2", "relative_energy_mev_per_atom": 17, "formation_energy_uncorrected_ev_per_atom": -2.09, "lattice_angstrom": [[4.950, 0.000, 0.000], [0.000, 8.666, 0.000], [-0.096, 0.000, 5.032]], "species": ["Li", "Li", "Li", "Li", "Mn", "W", "W", "W", "O", "O", "O", "O", "O", "O", "O", "O", "O", "O", "O", "O"], "fractional_positions": [[0.000, 0.000, 0.000], [0.000, 0.366, 0.500], [0.500, 0.504, 0.500], [0.500, 0.878, 0.000], [0.000, 0.603, 0.000], [0.000, 0.771, 0.500], [0.500, 0.092, 0.500], [0.500, 0.313, 0.000], [0.192, 0.806, 0.816], [0.225, 0.631, 0.345], [0.254, 0.956, 0.355], [0.259, 0.445, 0.839], [0.296, 0.276, 0.316], [0.300, 0.128, 0.814], [0.700, 0.128, 0.186], [0.704, 0.276, 0.684], [0.741, 0.445, 0.161], [0.746, 0.956, 0.645], [0.775, 0.631, 0.655], [0.808, 0.806, 0.184]]}

=====

(4)
{"formula": "Li4Y3MnO8", "functional": "GGA-PBEsol", "state": "relaxed", "space_group": "C222", "formation_energy_uncorrected_ev_per_atom": -2.62, "lattice_angstrom": [[3.016, -5.080, 0.000], [3.016, 5.080, 0.000], [0.000, 0.000, 6.034]], "species": ["Li", "Li", "Li", "Li", "Y", "Y", "Y", "Mn", "O", "O", "O", "O", "O", "O", "O", "O"], "fractional_positions": [[0.000, 0.000, 0.000], [0.000, 0.500, 0.242], [0.500, 0.000, 0.758], [0.500, 0.500, 0.500], [0.000, 0.000, 0.500], [0.000, 0.500, 0.757], [0.500, 0.000, 0.243], [0.500, 0.500, 0.000], [0.216, 0.784, 0.500], [0.250, 0.284, 0.766], [0.275, 0.725, 0.000], [0.284, 0.250, 0.234], [0.716, 0.750, 0.234], [0.725, 0.275, 0.000], [0.750, 0.716, 0.766], [0.784, 0.216, 0.500]]}

=====

(5)
{"formula": "LiMnOs", "functional": "GGA-PBEsol", "state": "relaxed", "space_group": "F-43m", "formation_enthalpy_0k_mev_per_atom": 674.5, "lattice_angstrom": [[0.000, 2.722, 2.722], [2.722, 0.000, 2.722], [2.722, 2.722, 0.000]], "species": ["Li", "Mn", "Os"], "fractional_positions": [[0.000, 0.000, 0.000], [0.750, 0.750, 0.750], [0.500, 0.500, 0.500]]}

=====

(6)
{"formula": "LiMnOs2", "functional": "GGA-PBEsol", "state": "relaxed", "space_group": "Immm", "formation_enthalpy_0k_mev_per_atom": 275.1, "relative_energy_mev_per_atom": 0, "lattice_angstrom": [[-1.356, 2.196, 4.557], [1.356, -2.196, 4.557], [1.356, 2.196, -4.557]], "species": ["Li", "Mn", "Os", "Os"], "fractional_positions": [[0.000, 0.000, 0.000], [0.500, 0.500, 0.000], [0.277, 0.777, 0.500], [0.723, 0.223, 0.500]]}

=====

(7)
{"formula": "LiMnOs2", "functional": "GGA-PBEsol", "state": "relaxed", "space_group": "Imm2", "formation_enthalpy_0k_mev_per_atom": 279.1, "relative_energy_mev_per_atom": 4, "lattice_angstrom": [[-1.422, 2.044, 4.137], [1.422, -2.044, 4.137], [1.422, 2.044, -4.137]], "species": ["Li", "Mn", "Os", "Os"], "fractional_positions": [[0.000, 0.000, 0.000], [0.237, 0.737, 0.500], [0.485, 0.485, 0.000], [0.747, 0.247, 0.500]]}

=====

(8)
{"formula": "LiMnOs2", "functional": "GGA-PBEsol", "state": "relaxed", "space_group": "P4/mmm", "formation_enthalpy_0k_mev_per_atom": 414.0, "relative_energy_mev_per_atom": 139, "lattice_angstrom": [[3.672, 0.000, 0.000], [0.000, 3.672, 0.000], [0.000, 0.000, 3.801]], "species": ["Li", "Mn", "Os", "Os"], "fractional_positions": [[0.000, 0.000, 0.000], [0.500, 0.500, 0.000], [0.000, 0.500, 0.500], [0.500, 0.000, 0.500]]}

=====

(9)
{"formula": "LiMnOs2Ru", "functional": "GGA-PBEsol", "state": "relaxed", "space_group": "P4/mmm", "formation_enthalpy_0k_mev_per_atom": 1770.9, "lattice_angstrom": [[4.606, 0.000, 0.000], [0.000, 4.606, 0.000], [0.000, 0.000, 4.720]], "species": ["Li", "Mn", "Os", "Os", "Ru"], "fractional_positions": [[0.000, 0.000, 0.000], [0.500, 0.500, 0.000], [0.000, 0.500, 0.500], [0.500, 0.000, 0.500], [0.500, 0.500, 0.500]]}

=====

(10)
{"formula": "LiTa2MnOs", "functional": "GGA-PBEsol", "state": "relaxed", "space_group": "P4/mmm", "formation_enthalpy_0k_mev_per_atom": 1184.5, "lattice_angstrom": [[4.299, 0.000, 0.000], [0.000, 4.299, 0.000], [0.000, 0.000, 4.031]], "species": ["Li", "Ta", "Ta", "Mn", "Os"], "fractional_positions": [[0.000, 0.000, 0.000], [0.000, 0.500, 0.000], [0.500, 0.000, 0.000], [0.500, 0.500, 0.500], [0.000, 0.000, 0.500]]}

=====

(11)
{"formula": "LiMnZnOs2", "functional": "GGA-PBEsol", "state": "relaxed", "space_group": "P4/mmm", "formation_enthalpy_0k_mev_per_atom": 1358.8, "lattice_angstrom": [[4.343, 0.000, 0.000], [0.000, 4.343, 0.000], [0.000, 0.000, 4.245]], "species": ["Li", "Mn", "Zn", "Os", "Os"], "fractional_positions": [[0.000, 0.000, 0.000], [0.000, 0.000, 0.500], [0.500, 0.500, 0.000], [0.000, 0.500, 0.500], [0.500, 0.000, 0.500]]}

=====

(12)
{"formula": "LiMnP2", "functional": "GGA-PBEsol", "state": "relaxed", "space_group": "Fm-3m", "formation_enthalpy_0k_mev_per_atom": -223.5, "relative_energy_mev_per_atom": 0, "lattice_angstrom": [[0.000, 2.811, 2.811], [2.811, 0.000, 2.811], [2.811, 2.811, 0.000]], "species": ["Li", "Mn", "P", "P"], "fractional_positions": [[0.000, 0.000, 0.000], [0.500, 0.500, 0.500], [0.250, 0.250, 0.250], [0.750, 0.750, 0.750]]}

=====

(13)
{"formula": "LiMnP2", "functional": "GGA-PBEsol", "state": "relaxed", "space_group": "I-4m2", "formation_enthalpy_0k_mev_per_atom": -159.2, "relative_energy_mev_per_atom": 64, "lattice_angstrom": [[-1.727, 1.727, 4.082], [1.727, -1.727, 4.082], [1.727, 1.727, -4.082]], "species": ["Li", "Mn", "P", "P"], "fractional_positions": [[0.000, 0.000, 0.000], [0.750, 0.250, 0.500], [0.250, 0.750, 0.500], [0.500, 0.500, 0.000]]}

=====

(14)
{"formula": "LiMnP3", "functional": "GGA-PBEsol", "state": "relaxed", "space_group": "Pm-3m", "formation_enthalpy_0k_mev_per_atom": 856.7, "lattice_angstrom": [[4.269, 0.000, 0.000], [0.000, 4.269, 0.000], [0.000, 0.000, 4.269]], "species": ["Li", "Mn", "P", "P", "P"], "fractional_positions": [[0.000, 0.000, 0.000], [0.500, 0.500, 0.500], [0.000, 0.000, 0.500], [0.000, 0.500, 0.000], [0.500, 0.000, 0.000]]}

=====

(15)
{"formula": "Li2MnP", "functional": "GGA-PBEsol", "state": "relaxed", "space_group": "R-3m", "formation_enthalpy_0k_mev_per_atom": 129.6, "lattice_angstrom": [[1.332, 0.769, 8.682], [-1.332, 0.769, 8.682], [0.000, -1.538, 8.682]], "species": ["Li", "Li", "Mn", "P"], "fractional_positions": [[0.243, 0.243, 0.243], [0.757, 0.757, 0.757], [0.000, 0.000, 0.000], [0.500, 0.500, 0.500]]}

=====

(16)
{"formula": "LiMn2P", "functional": "GGA-PBEsol", "state": "relaxed", "space_group": "P4mm", "formation_enthalpy_0k_mev_per_atom": -73.2, "lattice_angstrom": [[2.734, 0.000, 0.000], [0.000, 2.734, 0.000], [0.000, 0.000, 6.689]], "species": ["Li", "Mn", "Mn", "P"], "fractional_positions": [[0.000, 0.000, 0.000], [0.000, 0.000, 0.563], [0.500, 0.500, 0.328], [0.500, 0.500, 0.744]]}

=====

(17)
{"formula": "LiMnP2", "functional": "GGA-PBEsol", "state": "relaxed", "space_group": "I-42d", "formation_enthalpy_0k_mev_per_atom": 21.4, "relative_energy_mev_per_atom": 245, "lattice_angstrom": [[-2.773, 2.773, 5.074], [2.773, -2.773, 5.074], [2.773, 2.773, -5.074]], "species": ["Li", "Li", "Mn", "Mn", "P", "P", "P", "P"], "fractional_positions": [[0.000, 0.000, 0.000], [0.750, 0.250, 0.500], [0.250, 0.750, 0.500], [0.500, 0.500, 0.000], [0.198, 0.125, 0.573], [0.375, 0.802, 0.927], [0.552, 0.625, 0.427], [0.875, 0.448, 0.073]]}

=====

(18)
{"formula": "Li2MnP", "functional": "GGA-PBEsol", "state": "relaxed", "space_group": "P2/m", "formation_enthalpy_0k_mev_per_atom": -90.5, "lattice_angstrom": [[2.731, 0.000, 0.000], [0.000, 4.246, 0.000], [-1.064, 0.000, 4.250]], "species": ["Li", "Li", "Mn", "P"], "fractional_positions": [[0.175, 0.000, 0.265], [0.825, 0.000, 0.735], [0.500, 0.500, 0.000], [0.000, 0.500, 0.500]]}

=====

(19)
{"formula": "Li2MnP", "functional": "GGA-PBEsol", "state": "relaxed", "space_group": "I4/mmm", "formation_enthalpy_0k_mev_per_atom": -153.4, "lattice_angstrom": [[-1.706, 1.706, 4.259], [1.706, -1.706, 4.259], [1.706, 1.706, -4.259]], "species": ["Li", "Li", "Mn", "P"], "fractional_positions": [[0.250, 0.750, 0.500], [0.750, 0.250, 0.500], [0.000, 0.000, 0.000], [0.500, 0.500, 0.000]]}

=====

(20)
{"formula": "LiMnP2", "functional": "GGA-PBEsol", "state": "relaxed", "space_group": "C2/m", "formation_enthalpy_0k_mev_per_atom": -142.7, "relative_energy_mev_per_atom": 81, "lattice_angstrom": [[2.648, -3.489, 0.000], [2.648, 3.489, 0.000], [-0.336, 0.000, 2.656]], "species": ["Li", "Mn", "P", "P"], "fractional_positions": [[0.000, 0.000, 0.000], [0.500, 0.500, 0.000], [0.000, 0.500, 0.500], [0.500, 0.000, 0.500]]}

=====

Number 1: DFT total energy -7.928 eV per atom. Number 2: DFT total energy -8.212 eV per atom. Number 3: DFT total energy -8.196 eV per atom. Number 4: DFT total energy -7.628 eV per atom. Number 5: DFT total energy -7.307 eV per atom. Number 6: DFT total energy -8.765 eV per atom. Number 7: DFT total energy -8.761 eV per atom. Number 8: DFT total energy -8.626 eV per atom. Number 9: DFT total energy -7.496 eV per atom. Number 10: DFT total energy -8.625 eV per atom. Number 11: DFT total energy -6.189 eV per atom. Number 12: DFT total energy -6.051 eV per atom. Number 13: DFT total energy -5.987 eV per atom. Number 14: DFT total energy -4.964 eV per atom. Number 15: DFT total energy -4.742 eV per atom. Number 16: DFT total energy -6.893 eV per atom. Number 17: DFT total energy -5.806 eV per atom. Number 18: DFT total energy -4.962 eV per atom. Number 19: DFT total energy -5.025 eV per atom. Number 20: DFT total energy -5.970 eV per atom.